[1]
A plane-wave DFT calculation with PBE was carried out for crystalline Dy4Tm5Th at its relaxed geometry.

The structure in POSCAR format:
```
Dy4Tm5Th
1.0
8.4793 -1.7625 0.0000
8.4793 1.7625 0.0000
-0.1057 0.0000 10.8990
Dy Tm Th
4 5 1
Cartesian
0.4176 0.0000 2.7067 Dy
5.8725 0.0000 2.7685 Dy
10.9805 0.0000 8.1305 Dy
16.4354 0.0000 8.1923 Dy
2.8686 0.0000 4.8995 Tm
2.9300 0.0000 0.5073 Tm
8.4793 0.0000 0.0000 Tm
13.9230 0.0000 10.3917 Tm
13.9845 0.0000 5.9995 Tm
8.4265 0.0000 5.4495 Th
```

Properties
Crystal system: monoclinic
Space-group type: C2/m (12)
Total DFT energy (no corrections), eV per cell: -46.322
Theoretical density, kg/m³: 8802

[2]
A plane-wave DFT calculation with PBE was carried out for crystalline Dy3Tm4Th at its relaxed geometry.

The structure in POSCAR format:
```
Dy3Tm4Th
1.0
11.2557 0.0000 0.0000
0.0000 7.1712 0.0000
0.0000 0.0000 6.1972
Dy Tm Th
6 8 2
Cartesian
0.0000 0.8850 0.0000 Dy
2.8052 0.8896 2.0626 Dy
2.8227 6.2817 5.1612 Dy
5.6279 6.2862 3.0986 Dy
8.4330 6.2817 5.1612 Dy
8.4505 0.8896 2.0626 Dy
0.0000 2.6987 3.1089 Tm
0.0000 4.4932 0.0130 Tm
2.8076 4.4850 2.1145 Tm
2.8202 2.6862 5.2131 Tm
5.6279 2.6781 3.1116 Tm
5.6279 4.4725 0.0103 Tm
8.4355 2.6862 5.2131 Tm
8.4481 4.4850 2.1145 Tm
0.0000 6.2745 3.1180 Th
5.6279 0.8968 0.0194 Th
```

Properties
Crystal system: orthorhombic
Space-group type: Pmn2_1 (31)
Total DFT energy (no corrections), eV per cell: -77.918
Theoretical density, kg/m³: 9264

[3]
A plane-wave DFT calculation with PBE was carried out for crystalline Dy2TmTh6 at its relaxed geometry.

The structure in POSCAR format:
```
Dy2TmTh6
1.0
6.1323 0.0000 0.0000
2.0384 5.7899 0.0000
2.0775 1.4546 8.3222
Dy Tm Th
2 1 6
Cartesian
2.1901 1.5366 3.3773 Dy
8.0582 5.7078 4.9449 Dy
5.1241 3.6222 4.1611 Tm
2.9470 4.4337 1.7440 Th
4.2803 3.0158 8.1144 Th
5.0767 5.9411 6.5868 Th
5.1715 1.3034 1.7354 Th
5.9680 4.2286 0.2078 Th
7.3012 2.8108 6.5782 Th
```

Properties
Crystal system: triclinic
Space-group type: P-1 (2)
Total DFT energy (no corrections), eV per cell: -56.672
Theoretical density, kg/m³: 10600

[4]
A plane-wave DFT calculation with PBE was carried out for crystalline Dy3Tm8Th3 at its relaxed geometry.

The structure in POSCAR format:
```
Dy3Tm8Th3
1.0
-2.7868 5.3102 7.4218
2.7868 -5.3102 7.4218
2.7868 5.3102 -7.4218
Dy Tm Th
3 8 3
Cartesian
0.0000 0.0000 0.0000 Dy
0.0000 3.2396 0.0000 Dy
0.0000 7.3809 0.0000 Dy
2.7868 1.6833 -1.5303 Tm
2.7868 3.6250 -4.1088 Tm
2.7868 1.6833 1.5303 Tm
0.0000 1.6852 3.3130 Tm
2.7868 3.6250 4.1088 Tm
0.0000 3.6269 5.8915 Tm
0.0000 1.6852 11.5307 Tm
0.0000 3.6269 8.9521 Tm
2.7868 0.0000 4.6678 Th
0.0000 0.0000 7.4218 Th
0.0000 5.3102 2.7541 Th
```

Properties
Crystal system: orthorhombic
Space-group type: Immm (71)
Total DFT energy (no corrections), eV per cell: -69.747
Theoretical density, kg/m³: 9582

[5]
A plane-wave DFT calculation with PBE was carried out for crystalline Dy9Tm2Th at its relaxed geometry.

The structure in POSCAR format:
```
Dy9Tm2Th
1.0
5.0059 0.0000 0.0000
0.0000 5.0059 0.0000
0.0000 0.0000 14.9949
Dy Tm Th
9 2 1
Cartesian
0.0000 0.0000 0.0000 Dy
0.0000 0.0000 5.0335 Dy
0.0000 0.0000 9.9614 Dy
0.0000 2.5029 2.4891 Dy
0.0000 2.5029 7.4975 Dy
0.0000 2.5029 12.5059 Dy
2.5029 0.0000 2.4891 Dy
2.5029 0.0000 7.4975 Dy
2.5029 0.0000 12.5059 Dy
2.5029 2.5029 5.0035 Tm
2.5029 2.5029 9.9914 Tm
2.5029 2.5029 0.0000 Th
```

Properties
Crystal system: tetragonal
Space-group type: P4/mmm (123)
Total DFT energy (no corrections), eV per cell: -57.433
Theoretical density, kg/m³: 8982

[6]
A plane-wave DFT calculation with PBE was carried out for crystalline Dy5Tm5Th2 at its relaxed geometry.

The structure in POSCAR format:
```
Dy5Tm5Th2
1.0
7.4931 -2.5054 0.0000
7.4931 2.5054 0.0000
-4.9932 0.0000 9.9372
Dy Tm Th
5 5 2
Cartesian
0.0000 0.0000 0.0000 Dy
-2.4870 0.0000 7.4814 Dy
0.0116 0.0000 4.9787 Dy
9.9813 0.0000 4.9585 Dy
12.4800 0.0000 2.4558 Dy
2.5063 0.0000 2.4528 Tm
2.4944 0.0000 7.4532 Tm
4.9965 0.0000 4.9686 Tm
7.4985 0.0000 2.4840 Tm
7.4866 0.0000 7.4844 Tm
4.9738 0.0000 0.0018 Th
5.0191 0.0000 9.9354 Th
```

Properties
Crystal system: monoclinic
Space-group type: C2/m (12)
Total DFT energy (no corrections), eV per cell: -59.883
Theoretical density, kg/m³: 9441

Q: Which of these has the highest total DFT energy (no corrections)?
A: Dy4Tm5Th

What did the first record say?
A plane-wave DFT calculation with PBE was carried out for crystalline Dy4Tm5Th at its relaxed geometry.

The structure in POSCAR format:
```
Dy4Tm5Th
1.0
8.4793 -1.7625 0.0000
8.4793 1.7625 0.0000
-0.1057 0.0000 10.8990
Dy Tm Th
4 5 1
Cartesian
0.4176 0.0000 2.7067 Dy
5.8725 0.0000 2.7685 Dy
10.9805 0.0000 8.1305 Dy
16.4354 0.0000 8.1923 Dy
2.8686 0.0000 4.8995 Tm
2.9300 0.0000 0.5073 Tm
8.4793 0.0000 0.0000 Tm
13.9230 0.0000 10.3917 Tm
13.9845 0.0000 5.9995 Tm
8.4265 0.0000 5.4495 Th
```

Properties
Crystal system: monoclinic
Space-group type: C2/m (12)
Total DFT energy (no corrections), eV per cell: -46.322
Theoretical density, kg/m³: 8802